Cs2NaCdHg2: relaxed, GGA-PBE.

Results
- Space-group type: No. 72
- ΔE_f: -18.1 kJ/mol of atoms
- Density of states at the Fermi level: 5.658 states/eV/cell

Cell: 7.3756 7.7161 10.3980 Å, 111.78 110.77 90.00°
Element x y z (fractional)
Cs: 0.4167 0.1715 0.3430
Cs: 0.5833 0.8285 0.6570
Cs: 0.0737 0.3285 0.6570
Cs: 0.9263 0.6715 0.3430
Na: 0.0000 0.7500 0.0000
Na: 0.0000 0.2500 0.0000
Cd: 0.5000 0.7500 0.0000
Cd: 0.5000 0.2500 0.0000
Hg: 0.8252 0.0931 0.1861
Hg: 0.3609 0.5931 0.1861
Hg: 0.6391 0.4069 0.8139
Hg: 0.1748 0.9069 0.8139

LiTmPbI6: relaxed, GGA-PBE.

Results
- Space-group type: No. 163
- Formation energy (no corrections): -1.05 eV/atom
- Density of states at the Fermi level: 0.000 states/eV/cell

Cell: 7.6757 7.6757 14.1086 Å, 90.00 90.00 120.00°
Element x y z (fractional)
Li: 0.3333 0.6667 0.2500
Li: 0.6667 0.3333 0.7500
Tm: 0.6667 0.3333 0.2500
Tm: 0.3333 0.6667 0.7500
Pb: 0.0000 0.0000 0.0000
Pb: 0.0000 0.0000 0.5000
I: 0.6448 0.6451 0.1296
I: 0.0004 0.3552 0.1296
I: 0.3552 0.0004 0.6296
I: 0.9996 0.6448 0.8704
I: 0.3549 0.3552 0.3704
I: 0.0004 0.6451 0.3704
I: 0.6451 0.0004 0.8704
I: 0.6448 0.9996 0.3704
I: 0.9996 0.3549 0.6296
I: 0.3549 0.9996 0.1296
I: 0.6451 0.6448 0.6296
I: 0.3552 0.3549 0.8704

CsCa2Tl: relaxed, GGA-PBE.

Results
- Space-group type: No. 225
- ΔE_f: 1.6 kJ/mol of atoms
- Density of states at the Fermi level: 0.486 states/eV/cell

Cell: 5.9148 5.9148 5.9148 Å, 60.00 60.00 60.00°
Element x y z (fractional)
Cs: 0.0000 0.0000 0.0000
Tl: 0.5000 0.5000 0.5000
Ca: 0.2500 0.2500 0.2500
Ca: 0.7500 0.7500 0.7500

SmY2Cu6: relaxed, GGA-PBE.

Results
- Space-group type: No. 191
- ΔE_f: -23.7 kJ/mol of atoms
- Density of states at the Fermi level: 4.669 states/eV/cell

Cell: 3.6298 7.3427 7.3427 Å, 120.00 90.00 90.00°
Element x y z (fractional)
Sm: 0.0000 0.0000 0.0000
Y: 0.0000 0.3333 0.6667
Y: 0.0000 0.6667 0.3333
Cu: 0.5000 0.3344 0.3344
Cu: 0.5000 0.6656 0.6656
Cu: 0.5000 0.0000 0.6656
Cu: 0.5000 0.6656 0.0000
Cu: 0.5000 0.3344 0.0000
Cu: 0.5000 0.0000 0.3344

MgZr2Cl8: relaxed, GGA-PBE.

Results
- Space-group type: No. 12
- Formation energy (no corrections): -1.62 eV/atom
- Density of states at the Fermi level: 1.295 states/eV/cell

Cell: 6.4397 7.2418 7.2418 Å, 57.34 101.02 101.02°
Element x y z (fractional)
Mg: 0.0000 0.0000 0.0000
Zr: 0.4987 0.7482 0.7482
Zr: 0.5013 0.2518 0.2518
Cl: 0.2595 0.3596 0.8855
Cl: 0.7405 0.1145 0.6404
Cl: 0.2266 0.8664 0.8664
Cl: 0.7734 0.1336 0.1336
Cl: 0.2595 0.8855 0.3596
Cl: 0.7405 0.6404 0.1145
Cl: 0.7319 0.6284 0.6284
Cl: 0.2681 0.3716 0.3716

Np2UO11: relaxed, GGA-PBE.

Results
- Space-group type: No. 46
- Formation energy (no corrections): -2.24 eV/atom
- Density of states at the Fermi level: 3.649 states/eV/cell

Cell: 8.4952 8.2772 8.2772 Å, 68.64 59.12 59.13°
Site moments in Bohr magnetons follow the coordinates.
Element x y z (fractional)
Np: 0.6774 0.6849 0.3151  -0.10
Np: 0.3240 0.2919 0.7081  -0.01
Np: 0.8240 0.2081 0.7919  -0.01
Np: 0.1774 0.8151 0.1849  -0.10
U: 0.7774 0.7500 0.7500  0.00
U: 0.2774 0.2500 0.2500  0.00
O: 0.6396 0.7233 0.5479  0.01
O: 0.3517 0.2738 0.4662  0.00
O: 0.0918 0.5338 0.7262  0.00
O: 0.8518 0.9662 0.7738  0.00
O: 0.9109 0.4521 0.2767  0.01
O: 0.1397 0.0479 0.2233  0.01
O: 0.4109 0.7767 0.9521  0.01
O: 0.5918 0.2262 0.0338  0.00
O: 0.5293 0.4744 0.5256  0.00
O: 0.0293 0.0256 0.9744  0.00
O: 0.8526 0.8095 0.1905  0.01
O: 0.1118 0.1556 0.8444  0.00
O: 0.6118 0.3443 0.6557  0.00
O: 0.3526 0.6905 0.3095  0.01
O: 0.4343 0.9833 0.3017  0.00
O: 0.5419 0.0435 0.7024  0.00
O: 0.2878 0.2976 0.9565  0.00
O: 0.0419 0.2024 0.5435  0.00
O: 0.7194 0.6983 0.0167  0.00
O: 0.9343 0.8017 0.4833  0.00
O: 0.2194 0.5167 0.1983  0.00
O: 0.7878 0.4565 0.7976  0.00

Dy3ErRu4: relaxed, GGA-PBE.

Results
- Space-group type: No. 123
- ΔE_f: -32.3 kJ/mol of atoms
- Density of states at the Fermi level: 18.135 states/eV/cell

Cell: 4.7896 6.7967 9.5794 Å, 90.00 90.00 90.00°
Element x y z (fractional)
Ru: 0.5000 0.7491 0.0000
Ru: 0.5000 0.7491 0.5000
Ru: 0.5000 0.2509 0.0000
Ru: 0.5000 0.2509 0.5000
Ru: 0.0003 0.7491 0.7500
Ru: 0.9997 0.7491 0.2500
Ru: 0.9997 0.2509 0.2500
Ru: 0.0003 0.2509 0.7500
Er: 0.0000 0.5000 0.0000
Er: 0.0000 0.5000 0.5000
Dy: 0.0000 0.0000 0.0000
Dy: 0.0000 0.0000 0.5000
Dy: 0.5002 0.0000 0.7500
Dy: 0.4998 0.0000 0.2500
Dy: 0.5002 0.5000 0.7500
Dy: 0.4998 0.5000 0.2500

NaMgSn2: relaxed, GGA-PBE.

Results
- Space-group type: No. 123
- ΔE_f: -13.7 kJ/mol of atoms
- Density of states at the Fermi level: 1.769 states/eV/cell

Cell: 4.4070 4.7554 4.7554 Å, 90.00 90.00 90.00°
Element x y z (fractional)
Na: 0.5000 0.0000 0.0000
Mg: 0.5000 0.5000 0.5000
Sn: 0.0000 0.0000 0.5000
Sn: 0.0000 0.5000 0.0000

KCd4Pt2: relaxed, GGA-PBE.

Results
- Space-group type: No. 136
- ΔE_f: -23.2 kJ/mol of atoms
- Density of states at the Fermi level: 5.420 states/eV/cell

Cell: 4.3402 8.6745 8.6745 Å, 90.00 90.00 90.00°
Element x y z (fractional)
K: 0.5000 0.0000 0.0000
K: 0.0000 0.5000 0.5000
Pt: 0.0000 0.2273 0.7727
Pt: 0.0000 0.7727 0.2273
Pt: 0.5000 0.7273 0.7273
Pt: 0.5000 0.2727 0.2727
Cd: 0.0000 0.0788 0.3293
Cd: 0.0000 0.9212 0.6707
Cd: 0.5000 0.1707 0.5788
Cd: 0.5000 0.8293 0.4212
Cd: 0.5000 0.4212 0.8293
Cd: 0.5000 0.5788 0.1707
Cd: 0.0000 0.3293 0.0788
Cd: 0.0000 0.6707 0.9212

LaCdAg5: relaxed, GGA-PBE.

Results
- Space-group type: No. 62
- ΔE_f: -18.1 kJ/mol of atoms
- Density of states at the Fermi level: 13.601 states/eV/cell

Cell: 5.7190 9.1084 11.4939 Å, 90.00 90.00 90.00°
Element x y z (fractional)
La: 0.2500 0.2422 0.9380
La: 0.7500 0.2578 0.4380
La: 0.2500 0.7422 0.5620
La: 0.7500 0.7578 0.0620
Cd: 0.2500 0.8575 0.8554
Cd: 0.7500 0.6425 0.3554
Cd: 0.2500 0.3575 0.6446
Cd: 0.7500 0.1425 0.1446
Ag: 0.2500 0.5978 0.0182
Ag: 0.7500 0.9022 0.5182
Ag: 0.2500 0.0978 0.4818
Ag: 0.7500 0.4022 0.9818
Ag: 0.7500 0.3160 0.7419
Ag: 0.2500 0.1840 0.2419
Ag: 0.7500 0.8160 0.7581
Ag: 0.2500 0.6840 0.2581
Ag: 0.2500 0.9350 0.0907
Ag: 0.7500 0.5650 0.5907
Ag: 0.2500 0.4350 0.4093
Ag: 0.7500 0.0650 0.9093
Ag: 0.9926 0.4355 0.1921
Ag: 0.0074 0.0645 0.6921
Ag: 0.5074 0.9355 0.3079
Ag: 0.4926 0.5645 0.8079
Ag: 0.0074 0.5645 0.8079
Ag: 0.9926 0.9355 0.3079
Ag: 0.4926 0.0645 0.6921
Ag: 0.5074 0.4355 0.1921